Record 1
# HfCd2Ir

A relaxed structure of HfCd2Ir (PBE, OQMD).

The space group is F-43m (No. 216) and the conventional cell measures 6.660, 6.660 and 6.660 Å, with angles of 90.00, 90.00 and 90.00 degrees. The asymmetric unit holds Hf at (0.000, 0.000, 0.000), Cd at (0.000, 0.000, 0.500), Cd at (0.250, 0.250, 0.250) and Ir at (0.250, 0.250, 0.750).

For the formation energy, the calculation gives -184 meV/atom.

Record 2
# Cu5Ag4

A relaxed structure of Cu5Ag4 (PBE, OQMD).

The space group is C2/m (No. 12) and the conventional cell measures 8.773, 3.825 and 8.385 Å, with angles of 90.00, 110.86 and 90.00 degrees. The asymmetric unit holds Cu at (0.000, 0.000, 0.000), Cu at (0.151, 0.500, 0.194), Cu at (0.180, 0.500, 0.907), Ag at (0.013, 0.000, 0.692) and Ag at (0.174, 0.500, 0.568).

Its excess energy over the best structure of this formula in the dataset is 3.7 kJ/mol of atoms. For the formation energy, the calculation gives 79 meV/atom.

Record 3
# LiCu2Ge

A relaxed structure of LiCu2Ge (PBE, OQMD).

The space group is Pm-3m (No. 221) and the conventional cell measures 5.934, 5.934 and 5.934 Å, with angles of 90.00, 90.00 and 90.00 degrees. The asymmetric unit holds Li at (0.000, 0.000, 0.000), Li at (0.000, 0.000, 0.500), Cu at (0.242, 0.242, 0.242), Ge at (0.000, 0.500, 0.500) and Ge at (0.500, 0.500, 0.500).

The total energy comes out at -3.53 eV per atom.

Record 4
# Li3OsO4

A relaxed structure of Li3OsO4 (PBE, OQMD).

The space group is Pmmn (No. 59, origin choice 2) and the conventional cell measures 4.014, 6.857 and 5.832 Å, with angles of 90.00, 90.00 and 90.00 degrees. The asymmetric unit holds Li at (0.250, 0.006, 0.162), Li at (0.250, 0.750, 0.687), Os at (0.250, 0.250, 0.660), O at (0.250, 0.017, 0.824), O at (0.250, 0.250, 0.341) and O at (0.250, 0.750, 0.337).

Its excess energy over the best structure of this formula in the dataset is 5.9 kJ/mol of atoms.

Record 5
# KLaCdO3

A relaxed structure of KLaCdO3 (PBE, OQMD).

The space group is Cmcm (No. 63) and the conventional cell measures 3.815, 12.655 and 9.562 Å, with angles of 90.00, 90.00 and 90.00 degrees. The asymmetric unit holds K at (0.000, 0.186, 0.250), La at (0.000, 0.500, 0.000), Cd at (0.000, 0.092, 0.750), O at (0.000, 0.117, 0.535) and O at (0.000, 0.473, 0.750).

The total energy comes out at -5.61 eV per atom.

Record 6
# LiAl2Pt

A relaxed structure of LiAl2Pt (PBE, OQMD).

The space group is Fm-3m (No. 225) and the conventional cell measures 6.078, 6.078 and 6.078 Å, with angles of 90.00, 90.00 and 90.00 degrees. The asymmetric unit holds Li at (0.000, 0.000, 0.000), Al at (0.250, 0.250, 0.250) and Pt at (0.000, 0.000, 0.500).

The total energy comes out at -4.69 eV per atom.

Record 7
# SrCuNiAs

A relaxed structure of SrCuNiAs (PBE, OQMD).

The space group is F-43m (No. 216) and the conventional cell measures 6.704, 6.704 and 6.704 Å, with angles of 90.00, 90.00 and 90.00 degrees. The asymmetric unit holds Sr at (0.000, 0.000, 0.000), Cu at (0.000, 0.000, 0.500), Ni at (0.250, 0.250, 0.750) and As at (0.250, 0.250, 0.250).

Its excess energy over the best structure of this formula in the dataset is 12.6 kJ/mol of atoms.

Record 8
# Zn2Tc2AsP3

A relaxed structure of Zn2Tc2AsP3 (PBE, OQMD).

The space group is C2 (No. 5) and the conventional cell measures 11.788, 5.597 and 5.495 Å, with angles of 90.00, 115.77 and 90.00 degrees. The asymmetric unit holds Zn at (0.131, 0.000, 0.365), Tc at (0.129, 0.520, 0.884), As at (0.000, 0.284, 0.500), P at (0.000, 0.744, 0.000) and P at (0.248, 0.775, 0.771).

The total energy comes out at -5.47 eV per atom.

What did the fifth record say?
# KLaCdO3

A relaxed structure of KLaCdO3 (PBE, OQMD).

The space group is Cmcm (No. 63) and the conventional cell measures 3.815, 12.655 and 9.562 Å, with angles of 90.00, 90.00 and 90.00 degrees. The asymmetric unit holds K at (0.000, 0.186, 0.250), La at (0.000, 0.500, 0.000), Cd at (0.000, 0.092, 0.750), O at (0.000, 0.117, 0.535) and O at (0.000, 0.473, 0.750).

The total energy comes out at -5.61 eV per atom.